{"formula": "KNiTe2O6", "functional": "PBE with a Hubbard U", "state": "relaxed", "dft_energy_ev_per_atom": -5.02, "sg": "C2/c, No. 15", "magnetic_moment_mub_per_cell": 3.47, "crystal_system": "monoclinic", "lattice_angstrom": [[7.1740, -0.0692, -0.0718], [2.2233, 7.3202, -0.7750], [2.2233, -1.0458, 7.2865]], "species": ["O", "O", "O", "O", "O", "O", "O", "O", "O", "O", "O", "O", "Te", "Te", "Te", "Te", "K", "K", "Ni", "Ni"], "fractional_positions": [[0.4605, 0.8423, 0.3707], [0.0395, 0.6293, 0.1577], [0.5395, 0.1577, 0.6293], [0.3110, 0.2388, 0.0199], [0.9768, 0.3298, 0.3745], [0.0232, 0.6702, 0.6255], [0.6890, 0.7612, 0.9801], [0.1890, 0.9801, 0.7612], [0.9605, 0.3707, 0.8423], [0.4768, 0.3745, 0.3298], [0.8110, 0.0199, 0.2388], [0.5232, 0.6255, 0.6702], [0.6772, 0.2437, 0.4281], [0.1772, 0.4281, 0.2437], [0.8228, 0.5719, 0.7563], [0.3228, 0.7563, 0.5719], [0.2500, 0.9009, 0.0991], [0.7500, 0.0991, 0.9009], [0.7500, 0.7841, 0.2159], [0.2500, 0.2159, 0.7841]]}